No. 1
A plane-wave DFT calculation with PBE was carried out for an optimized crystal structure of TmAlGe.

Cell: 7.0996 7.0996 4.1016 Å, 90.00 90.00 120.00°
Space group P-62m (No. 189)
Asymmetric unit:
Tm1 0.0000 0.3912 0.0000 [3 per cell]
Al1 0.0000 0.7436 0.5000 [3 per cell]
Ge1 0.0000 0.0000 0.0000 [1 per cell]
Ge2 0.3333 0.6667 0.5000 [2 per cell]

No. 2
A plane-wave DFT calculation with PBE was carried out for an optimized crystal structure of Tm2AlGe.

Cell: 3.975 4.292 10.707 Å, 90.00 90.00 90.00°
Space group Amm2 (No. 38)
Asymmetric unit:
Tm1 0.000 0.000 0.000 [2 per cell]
Tm2 0.500 0.000 0.281 [2 per cell]
Al1 0.000 0.000 0.718 [2 per cell]
Ge1 0.500 0.000 0.561 [2 per cell]

no.,energy (eV/atom),ρ (kg/m³),volume (Å³/atom)
1,-4.82,7472,19.893
2,-5.00,7954,22.834